1.
DyHfAl | PBE | relaxed

Cell lengths 5.0347, 5.0347, 3.0044 Å; angles 90.00, 90.00, 120.00 degrees
Closest atoms and distances in Å follow each position.
Fractional positions:
Dy 0.0000 0.0000 0.0000  3 Hf 2.91, 2 Dy 3.00
Hf 0.3333 0.6667 0.0000  3 Dy 2.91, 2 Hf 3.00
Al 0.6667 0.3333 0.5000  2 Al 3.00, 6 Dy 3.27, 6 Hf 3.27

M_tot (μB per formula unit): 0.00
Space group: P-6m2, No. 187
ΔE to the lowest computed polymorph (meV per atom): 300
Electronic total energy (eV per cell): -17.92
Calculated formation energy (kJ per mole of atoms): 12

2.
DyHf3Al8 | PBE | relaxed

Cell lengths 9.2769, 9.2769, 9.2769 Å; angles 33.48, 33.48, 33.48 degrees
Closest atoms and distances in Å follow each position.
Fractional positions:
Dy 0.0000 0.0000 0.0000  12 Al 3.14-3.18, 4 Hf 3.30-3.32
Hf 0.3777 0.3777 0.3777  12 Al 3.12-3.25, 1 Hf 3.19, 3 Dy 3.30
Hf 0.4993 0.4993 0.4993  12 Al 3.11-3.14, 4 Hf 3.19-3.27
Hf 0.8735 0.8735 0.8735  12 Al 3.07-3.13, 3 Hf 3.27, 1 Dy 3.32
Al 0.1872 0.1872 0.1872  6 Al 2.64-2.65
Al 0.4360 0.4360 0.9348  6 Al 2.65-2.72
Al 0.4360 0.9348 0.4360  6 Al 2.65-2.72
Al 0.4405 0.9381 0.9381  6 Al 2.64-2.69
Al 0.6879 0.6879 0.6879  6 Al 2.69-2.72
Al 0.9348 0.4360 0.4360  6 Al 2.65-2.72
Al 0.9381 0.4405 0.9381  6 Al 2.64-2.69
Al 0.9381 0.9381 0.4405  6 Al 2.64-2.69

M_tot (μB per formula unit): 0.00
Space group: R3m, No. 160
ΔE to the lowest computed polymorph (meV per atom): 0
Electronic total energy (eV per cell): -69.76
Calculated formation energy (kJ per mole of atoms): -43

3.
DyHfAl | PBE | relaxed

Cell lengths 4.5021, 4.5021, 7.2559 Å; angles 90.00, 90.00, 90.00 degrees
Closest atoms and distances in Å follow each position.
Fractional positions:
Dy 0.2500 0.2500 0.1965  4 Al 3.15, 5 Hf 3.22-3.34
Dy 0.7500 0.7500 0.8035  4 Al 3.15, 5 Hf 3.22-3.34
Hf 0.2500 0.2500 0.7364  4 Al 2.83
Hf 0.7500 0.7500 0.2636  4 Al 2.83
Al 0.2500 0.7500 0.5000  4 Hf 2.83, 4 Dy 3.15
Al 0.7500 0.2500 0.5000  4 Hf 2.83, 4 Dy 3.15

M_tot (μB per formula unit): 0.00
Space group: P4/nmm, No. 129
ΔE to the lowest computed polymorph (meV per atom): 231
Electronic total energy (eV per cell): -36.24
Calculated formation energy (kJ per mole of atoms): 6

4.
Dy2HfAl | PBE | relaxed

Cell lengths 3.3800, 3.3800, 8.7523 Å; angles 90.00, 90.00, 90.00 degrees
Closest atoms and distances in Å follow each position.
Fractional positions:
Dy 0.0000 0.0000 0.2336  4 Al 3.15, 4 Hf 3.34, 4 Dy 3.38
Dy 0.0000 0.0000 0.7664  4 Al 3.15, 4 Hf 3.34, 4 Dy 3.38
Hf 0.5000 0.5000 0.5000  8 Dy 3.34, 4 Hf 3.38
Al 0.5000 0.5000 0.0000  8 Dy 3.15, 4 Al 3.38

M_tot (μB per formula unit): 0.00
Space group: P4/mmm, No. 123
ΔE to the lowest computed polymorph (meV per atom): 0
Electronic total energy (eV per cell): -23.34
Calculated formation energy (kJ per mole of atoms): -11

5.
DyHfAl2 | PBE | relaxed

Cell lengths 4.5164, 4.5164, 4.0963 Å; angles 90.00, 90.00, 90.00 degrees
Closest atoms and distances in Å follow each position.
Fractional positions:
Dy 0.0000 0.0000 0.0000  8 Al 3.05, 4 Hf 3.19
Hf 0.5000 0.5000 0.0000  8 Al 3.05, 4 Dy 3.19
Al 0.0000 0.5000 0.5000  4 Hf 3.05, 4 Dy 3.05, 4 Al 3.19
Al 0.5000 0.0000 0.5000  4 Hf 3.05, 4 Dy 3.05, 4 Al 3.19

M_tot (μB per formula unit): 0.00
Space group: P4/mmm, No. 123
ΔE to the lowest computed polymorph (meV per atom): 28
Electronic total energy (eV per cell): -23.10
Calculated formation energy (kJ per mole of atoms): -26

6.
Dy2HfAl2Pd5 | PBE | relaxed

Cell lengths 10.1106, 10.1106, 3.6239 Å; angles 90.00, 90.00, 90.00 degrees
Closest atoms and distances in Å follow each position.
Fractional positions:
Dy 0.1755 0.3245 0.0000  3 Al 2.89-3.06, 6 Pd 3.10-3.21
Dy 0.3245 0.8245 0.0000  3 Al 2.89-3.06, 6 Pd 3.10-3.21
Dy 0.6755 0.1755 0.0000  3 Al 2.89-3.06, 6 Pd 3.10-3.21
Dy 0.8245 0.6755 0.0000  3 Al 2.89-3.06, 6 Pd 3.10-3.21
Hf 0.0000 0.0000 0.0000  8 Pd 2.82
Hf 0.5000 0.5000 0.0000  8 Pd 2.82
Al 0.1226 0.6226 0.0000  6 Pd 2.52-2.59
Al 0.3774 0.1226 0.0000  6 Pd 2.52-2.59
Al 0.6226 0.8774 0.0000  6 Pd 2.52-2.59
Al 0.8774 0.3774 0.0000  6 Pd 2.52-2.59
Pd 0.0000 0.5000 0.5000  4 Al 2.52
Pd 0.0587 0.7942 0.5000  2 Al 2.59, 2 Hf 2.82
Pd 0.2058 0.0587 0.5000  2 Al 2.59, 2 Hf 2.82
Pd 0.2942 0.5587 0.5000  2 Al 2.59, 2 Hf 2.82
Pd 0.4413 0.2942 0.5000  2 Al 2.59, 2 Hf 2.82
Pd 0.5000 0.0000 0.5000  4 Al 2.52
Pd 0.5587 0.7058 0.5000  2 Al 2.59, 2 Hf 2.82
Pd 0.7058 0.4413 0.5000  2 Al 2.59, 2 Hf 2.82
Pd 0.7942 0.9413 0.5000  2 Al 2.59, 2 Hf 2.82
Pd 0.9413 0.2058 0.5000  2 Al 2.59, 2 Hf 2.82

M_tot (μB per formula unit): 0.00
Space group: P4/mbm, No. 127
Electronic total energy (eV per cell): -121.79
Calculated formation energy (kJ per mole of atoms): -80

7.
Dy6Al2Hg | PBE | relaxed

Cell lengths 8.6684, 8.6684, 8.6684 Å; angles 112.15, 110.65, 105.69 degrees
Closest atoms and distances in Å follow each position.
Fractional positions:
Dy 0.0349 0.8238 0.2111  3 Al 2.95-3.10
Dy 0.2486 0.5495 0.3009  2 Al 3.03-3.20, 2 Hg 3.24-3.26
Dy 0.2486 0.9477 0.6991  2 Al 3.03-3.20, 2 Hg 3.24-3.26
Dy 0.2718 0.3200 0.5918  3 Al 3.13-3.19, 1 Hg 3.20, 1 Dy 3.48
Dy 0.2718 0.6800 0.9518  3 Al 3.13-3.19, 1 Hg 3.20, 1 Dy 3.48
Dy 0.3873 0.1762 0.2111  3 Al 2.95-3.10
Dy 0.6127 0.8238 0.7889  3 Al 2.95-3.10
Dy 0.7282 0.3200 0.0482  3 Al 3.13-3.19, 1 Hg 3.20, 1 Dy 3.48
Dy 0.7282 0.6800 0.4082  3 Al 3.13-3.19, 1 Hg 3.20, 1 Dy 3.48
Dy 0.7514 0.0523 0.3009  2 Al 3.03-3.20, 2 Hg 3.24-3.26
Dy 0.7514 0.4505 0.6991  2 Al 3.03-3.20, 2 Hg 3.24-3.26
Dy 0.9651 0.1762 0.7889  3 Al 2.95-3.10
Al 0.0000 0.1408 0.1408  1 Al 2.72, 2 Dy 3.03
Al 0.0000 0.8592 0.8592  1 Al 2.72, 2 Dy 3.03
Al 0.3765 0.3765 0.0000  1 Al 2.59
Al 0.6235 0.6235 0.0000  1 Al 2.59
Hg 0.0000 0.5000 0.5000  8 Dy 3.20-3.24, 2 Al 3.48
Hg 0.5000 0.0000 0.5000  8 Dy 3.26-3.40

M_tot (μB per formula unit): 0.00
Space group: Immm, No. 71
ΔE to the lowest computed polymorph (meV per atom): 0
Electronic total energy (eV per cell): -75.78
Calculated formation energy (kJ per mole of atoms): -27

8.
Dy3Al4Hg2 | PBE | relaxed

Cell lengths 5.8704, 5.8704, 8.7545 Å; angles 112.18, 112.18, 46.26 degrees
Closest atoms and distances in Å follow each position.
Fractional positions:
Dy 0.0000 0.0000 0.0000  8 Al 3.12-3.31, 4 Hg 3.21
Dy 0.3334 0.3334 0.3325  8 Al 3.13-3.34, 4 Hg 3.21-3.24
Dy 0.6666 0.6666 0.6675  8 Al 3.13-3.34, 4 Hg 3.21-3.24
Al 0.0420 0.0420 0.3793  1 Al 2.62, 2 Hg 2.69
Al 0.2634 0.2634 0.9345  2 Al 2.64, 1 Hg 2.70
Al 0.7366 0.7366 0.0655  2 Al 2.64, 1 Hg 2.70
Al 0.9580 0.9580 0.6207  1 Al 2.62, 2 Hg 2.69
Hg 0.3871 0.3871 0.7214  3 Al 2.69-2.70
Hg 0.6129 0.6129 0.2786  3 Al 2.69-2.70

M_tot (μB per formula unit): 0.00
Space group: C2/m, No. 12
Electronic total energy (eV per cell): -33.55
Calculated formation energy (kJ per mole of atoms): -45

9.
Dy3AlHg3 | PBE | relaxed

Cell lengths 6.0509, 6.0509, 15.4985 Å; angles 107.28, 107.28, 40.98 degrees
Closest atoms and distances in Å follow each position.
Fractional positions:
Dy 0.0166 0.0166 0.3828  6 Hg 3.13-3.29, 3 Al 3.22-3.24
Dy 0.1049 0.1049 0.9202  7 Hg 3.06-3.36
Dy 0.2404 0.2404 0.2302  6 Hg 3.09-3.43, 2 Al 3.17
Dy 0.7596 0.7596 0.7698  6 Hg 3.09-3.43, 2 Al 3.17
Dy 0.8951 0.8951 0.0798  7 Hg 3.06-3.36
Dy 0.9834 0.9834 0.6172  6 Hg 3.13-3.29, 3 Al 3.22-3.24
Al 0.2704 0.2704 0.6201  4 Hg 2.65-2.88
Al 0.7296 0.7296 0.3799  4 Hg 2.65-2.88
Hg 0.3559 0.3559 0.4635  3 Al 2.65-2.88
Hg 0.3759 0.3759 0.9238  2 Hg 3.05-3.07, 7 Dy 3.06-3.36
Hg 0.4855 0.4855 0.7666  1 Al 2.76, 1 Hg 3.07
Hg 0.5145 0.5145 0.2334  1 Al 2.76, 1 Hg 3.07
Hg 0.6241 0.6241 0.0762  2 Hg 3.05-3.07, 7 Dy 3.06-3.36
Hg 0.6441 0.6441 0.5365  3 Al 2.65-2.88

M_tot (μB per formula unit): 0.00
Space group: C2/m, No. 12
Electronic total energy (eV per cell): -42.72
Calculated formation energy (kJ per mole of atoms): -40

10.
Dy3Al2Hg2 | PBE | relaxed

Cell lengths 11.0814, 11.0814, 3.4942 Å; angles 90.00, 90.00, 157.22 degrees
Closest atoms and distances in Å follow each position.
Fractional positions:
Dy 0.0000 0.0000 0.0000  8 Hg 3.30, 4 Dy 3.49
Dy 0.1608 0.8392 0.0000  6 Al 3.07-3.15, 4 Hg 3.30
Dy 0.8392 0.1608 0.0000  6 Al 3.07-3.15, 4 Hg 3.30
Al 0.2817 0.7183 0.5000  2 Al 2.59
Al 0.7183 0.2817 0.5000  2 Al 2.59
Hg 0.4196 0.5804 0.5000  1 Al 3.00, 8 Dy 3.30
Hg 0.5804 0.4196 0.5000  1 Al 3.00, 8 Dy 3.30

M_tot (μB per formula unit): 0.00
Space group: Cmmm, No. 65
Electronic total energy (eV per cell): -24.94
Calculated formation energy (kJ per mole of atoms): -42